The following is a DFT calculation (PBE-GGA) of a relaxed CdCoPb2 crystal.

Lattice parameters (Å, degrees): 3.2549 3.2549 8.7978 90.00 90.00 90.02
Closest atoms and distances in Å follow each position.
Fractional coordinates of all 4 atoms:
1 Cd 0.0000 0.0000 0.5612  4 Co 2.76
2 Co 0.5000 0.5000 0.7353  4 Cd 2.76, 4 Pb 2.85
3 Pb 0.0000 0.0000 0.9256  4 Co 2.85
4 Pb 0.5000 0.5000 0.2778  4 Pb 3.25, 4 Cd 3.39


The following is a DFT calculation (PBE-GGA) of a relaxed LaNpRe crystal.

Lattice parameters (Å, degrees): 4.8967 3.3148 10.0868 90.00 104.05 90.00
Closest atoms and distances in Å follow each position.
Fractional coordinates of all 6 atoms:
1 Np 0.4553 0.7500 0.9106  2 Np 2.41
2 Np 0.5447 0.2500 0.0894  2 Np 2.41
3 La 0.8191 0.7500 0.6381  2 Re 3.00, 2 La 3.31
4 La 0.1809 0.2500 0.3619  2 Re 3.00, 2 La 3.31
5 Re 0.9470 0.2500 0.8940  2 Re 2.65, 4 Np 2.96
6 Re 0.0530 0.7500 0.1060  2 Re 2.65, 4 Np 2.96


| no. | energy of formation (meV/atom) | size of the total moment (μB/f.u.) |
| --- | --- | --- |
| 1 | 278.8 | 1.05 |
| 2 | 399.5 | 0.00 |